Record 1
The following is a DFT calculation (PBE) of a geometry-optimized HgPI2 structure.

a = 5.388 Å, b = 5.388 Å, c = 5.388 Å
α = 60.00°, β = 60.00°, γ = 60.00°
Sites, in units of the cell vectors:
Hg 0.000 0.000 0.000
P 0.500 0.500 0.500
I 0.250 0.250 0.250
I 0.750 0.750 0.750

Summary:
Its space group is Fm-3m, No. 225. For the uncorrected formation energy, the calculation gives 699 meV per atom.



Record 2
The following is a DFT calculation (PBE) of a geometry-optimized Hg2PI structure.

a = 5.536 Å, b = 4.592 Å, c = 5.791 Å
α = 90.00°, β = 115.54°, γ = 90.00°
Sites, in units of the cell vectors:
Hg 0.000 0.000 0.000
Hg 0.367 0.000 0.703
P 0.283 0.500 0.507
I 0.667 0.500 0.376

Summary:
Its space group is Pm, No. 6. For the uncorrected formation energy, the calculation gives 161 meV per atom.



Record 3
The following is a DFT calculation (PBE) of a geometry-optimized Hg2PI structure.

a = 4.526 Å, b = 6.064 Å, c = 9.714 Å
α = 75.38°, β = 89.49°, γ = 85.82°
Sites, in units of the cell vectors:
Hg 0.000 0.000 0.000
Hg 0.007 0.897 0.421
Hg 0.262 0.485 0.579
Hg 0.525 0.465 0.192
P 0.511 0.045 0.299
P 0.511 0.894 0.114
I 0.086 0.501 0.920
I 0.732 0.104 0.675

Summary:
Its space group is P1, No. 1. For the uncorrected formation energy, the calculation gives -59 meV per atom.



Record 4
The following is a DFT calculation (PBE) of a geometry-optimized Hg2PI structure.

a = 4.582 Å, b = 5.600 Å, c = 6.477 Å
α = 111.77°, β = 108.65°, γ = 90.06°
Sites, in units of the cell vectors:
Hg 0.000 0.000 0.000
Hg 0.115 0.609 0.249
P 0.417 0.927 0.816
I 0.360 0.306 0.689

Summary:
Its space group is P1, No. 1. For the uncorrected formation energy, the calculation gives 163 meV per atom.



Record 5
The following is a DFT calculation (PBE) of a geometry-optimized Hg2PI structure.

a = 7.542 Å, b = 7.542 Å, c = 8.729 Å
α = 90.00°, β = 90.00°, γ = 120.00°
Sites, in units of the cell vectors:
Hg 0.173 0.433 0.338
Hg 0.259 0.827 0.005
Hg 0.433 0.173 0.662
Hg 0.567 0.741 0.672
Hg 0.741 0.567 0.328
Hg 0.827 0.259 0.995
P 0.000 0.558 0.167
P 0.442 0.442 0.500
P 0.558 0.000 0.833
I 0.000 0.734 0.667
I 0.266 0.266 0.000
I 0.734 0.000 0.333

Summary:
Its space group is P3_121, No. 152. For the uncorrected formation energy, the calculation gives -108 meV per atom.



Record 6
The following is a DFT calculation (PBE) of a geometry-optimized Hg3PI structure.

a = 6.574 Å, b = 6.574 Å, c = 6.574 Å
α = 90.00°, β = 90.00°, γ = 90.00°
Sites, in units of the cell vectors:
Hg 0.000 0.000 0.500
Hg 0.000 0.500 0.000
Hg 0.500 0.000 0.000
P 0.500 0.500 0.500
I 0.000 0.000 0.000

Summary:
Its space group is Pm-3m, No. 221. For the uncorrected formation energy, the calculation gives 836 meV per atom.



Record 7
The following is a DFT calculation (PBE) of a geometry-optimized Hg12P5I3 structure.

a = 14.840 Å, b = 14.840 Å, c = 14.840 Å
α = 109.47°, β = 109.47°, γ = 109.47°
Sites, in units of the cell vectors:
Hg 0.008 0.192 0.089
Hg 0.008 0.316 0.919
Hg 0.081 0.589 0.397
Hg 0.081 0.992 0.684
Hg 0.089 0.008 0.192
Hg 0.089 0.581 0.897
Hg 0.103 0.692 0.684
Hg 0.103 0.911 0.419
Hg 0.184 0.192 0.603
Hg 0.184 0.492 0.581
Hg 0.192 0.089 0.008
Hg 0.192 0.603 0.184
Hg 0.308 0.316 0.897
Hg 0.308 0.492 0.411
Hg 0.316 0.897 0.308
Hg 0.316 0.919 0.008
Hg 0.397 0.081 0.589
Hg 0.397 0.816 0.808
Hg 0.411 0.308 0.492
Hg 0.411 0.603 0.919
Hg 0.419 0.103 0.911
Hg 0.419 0.816 0.508
Hg 0.492 0.411 0.308
Hg 0.492 0.581 0.184
Hg 0.508 0.419 0.816
Hg 0.508 0.589 0.692
Hg 0.581 0.184 0.492
Hg 0.581 0.897 0.089
Hg 0.589 0.397 0.081
Hg 0.589 0.692 0.508
Hg 0.603 0.184 0.192
Hg 0.603 0.919 0.411
Hg 0.684 0.081 0.992
Hg 0.684 0.103 0.692
Hg 0.692 0.508 0.589
Hg 0.692 0.684 0.103
Hg 0.808 0.397 0.816
Hg 0.808 0.911 0.992
Hg 0.816 0.508 0.419
Hg 0.816 0.808 0.397
Hg 0.897 0.089 0.581
Hg 0.897 0.308 0.316
Hg 0.911 0.419 0.103
Hg 0.911 0.992 0.808
Hg 0.919 0.008 0.316
Hg 0.919 0.411 0.603
Hg 0.992 0.684 0.081
Hg 0.992 0.808 0.911
P 0.000 0.000 0.000
P 0.000 0.000 0.500
P 0.000 0.500 0.000
P 0.000 0.500 0.500
P 0.125 0.750 0.875
P 0.125 0.875 0.250
P 0.250 0.125 0.875
P 0.250 0.625 0.375
P 0.375 0.250 0.625
P 0.375 0.625 0.750
P 0.500 0.000 0.000
P 0.500 0.000 0.500
P 0.500 0.500 0.000
P 0.500 0.500 0.500
P 0.625 0.375 0.250
P 0.625 0.750 0.375
P 0.750 0.375 0.625
P 0.750 0.875 0.125
P 0.875 0.125 0.750
P 0.875 0.250 0.125
I 0.125 0.250 0.375
I 0.125 0.375 0.750
I 0.250 0.375 0.125
I 0.250 0.875 0.625
I 0.375 0.125 0.250
I 0.375 0.750 0.125
I 0.625 0.250 0.875
I 0.625 0.875 0.750
I 0.750 0.125 0.375
I 0.750 0.625 0.875
I 0.875 0.625 0.250
I 0.875 0.750 0.625

Summary:
Its space group is Ia-3d, No. 230. For the uncorrected formation energy, the calculation gives 154 meV per atom.



Record 8
The following is a DFT calculation (PBE) of a geometry-optimized Hg2PI structure.

a = 5.914 Å, b = 5.919 Å, c = 7.915 Å
α = 72.97°, β = 76.27°, γ = 79.40°
Sites, in units of the cell vectors:
Hg 0.000 0.000 0.000
Hg 0.110 0.586 0.594
Hg 0.500 0.500 0.000
Hg 0.890 0.414 0.406
P 0.118 0.626 0.907
P 0.882 0.374 0.093
I 0.442 0.892 0.288
I 0.558 0.108 0.712

Summary:
Its space group is P-1, No. 2. For the uncorrected formation energy, the calculation gives -109 meV per atom.



Record 9
The following is a DFT calculation (PBE) of a geometry-optimized Hg4PI2 structure.

a = 8.877 Å, b = 8.877 Å, c = 8.877 Å
α = 145.27°, β = 145.27°, γ = 49.94°
Sites, in units of the cell vectors:
Hg 0.000 0.500 0.500
Hg 0.165 0.165 0.000
Hg 0.500 0.000 0.500
Hg 0.835 0.835 0.000
P 0.000 0.000 0.000
I 0.350 0.350 0.000
I 0.650 0.650 0.000

Summary:
Its space group is I4/mmm, No. 139. For the uncorrected formation energy, the calculation gives -25 meV per atom.



Record 10
The following is a DFT calculation (PBE) of a geometry-optimized Hg2PI structure.

a = 4.515 Å, b = 6.043 Å, c = 6.944 Å
α = 110.45°, β = 108.63°, γ = 90.26°
Sites, in units of the cell vectors:
Hg 0.000 0.000 0.000
Hg 0.213 0.000 0.417
P 0.800 0.958 0.596
I 0.727 0.509 0.451

Summary:
Its space group is P1, No. 1. For the uncorrected formation energy, the calculation gives 131 meV per atom.



Record 11
The following is a DFT calculation (PBE) of a geometry-optimized Hg2PI structure.

a = 4.428 Å, b = 4.433 Å, c = 8.104 Å
α = 75.72°, β = 74.94°, γ = 60.08°
Sites, in units of the cell vectors:
Hg 0.000 0.000 0.000
Hg 0.220 0.241 0.338
P 0.893 0.912 0.319
I 0.406 0.398 0.781

Summary:
Its space group is P1, No. 1. For the uncorrected formation energy, the calculation gives -8 meV per atom.



Record 12
The following is a DFT calculation (PBE) of a geometry-optimized Hg4P2I3 structure.

a = 9.416 Å, b = 9.416 Å, c = 7.591 Å
α = 101.26°, β = 101.26°, γ = 88.32°
Sites, in units of the cell vectors:
Hg 0.024 0.752 0.957
Hg 0.248 0.976 0.543
Hg 0.313 0.321 0.400
Hg 0.321 0.313 0.900
Hg 0.679 0.687 0.100
Hg 0.687 0.679 0.600
Hg 0.752 0.024 0.457
Hg 0.976 0.248 0.043
P 0.176 0.419 0.135
P 0.419 0.176 0.635
P 0.581 0.824 0.365
P 0.824 0.581 0.865
I 0.049 0.756 0.446
I 0.244 0.951 0.054
I 0.400 0.600 0.750
I 0.600 0.400 0.250
I 0.756 0.049 0.946
I 0.951 0.244 0.554

Summary:
Its space group is C2/c, No. 15. For the uncorrected formation energy, the calculation gives 13 meV per atom.